Crystalline Na2TlCuF4 at its relaxed geometry, computed with GGA-PBE.

Computed properties:
Total DFT energy (no corrections), eV/cell: -132.056

Lattice parameters (Å, degrees): 3.520 12.076 11.985 90.00 90.00 90.00
Space group Cmcm (No. 63)
Unique sites:
Na: 0.000 0.128 0.048 [8 per cell]
Tl: 0.000 0.439 0.250 [4 per cell]
Cu: 0.000 0.253 0.750 [4 per cell]
F: 0.000 0.096 0.250 [4 per cell]
F: 0.000 0.251 0.596 [8 per cell]
F: 0.000 0.500 0.000 [4 per cell]


Crystalline Nd2Sm2Dy2Cd at its relaxed geometry, computed with GGA-PBE.

Computed properties:
Energy of formation, eV/atom: 0.129

Lattice parameters (Å, degrees): 16.178 3.539 11.023 90.00 130.88 90.00
Space group C2/m (No. 12)
Unique sites:
Nd: 0.139 0.000 0.325 [4 per cell]
Sm: 0.150 0.000 0.657 [4 per cell]
Dy: 0.148 0.000 0.973 [4 per cell]
Cd: 0.000 0.500 0.000 [2 per cell]


Crystalline PuU2PaP4 at its relaxed geometry, computed with GGA-PBE.

Computed properties:
Energy of formation, eV/atom: -1.109

Lattice parameters (Å, degrees): 6.798 3.929 6.925 90.00 109.18 90.00
Space group P2/m (No. 10)
Unique sites:
Pu: 0.000 0.000 0.000 [1 per cell]
U: 0.000 0.500 0.500 [1 per cell]
U: 0.500 0.000 0.500 [1 per cell]
Pa: 0.500 0.500 0.000 [1 per cell]
P: 0.250 0.000 0.746 [2 per cell]
P: 0.252 0.500 0.254 [2 per cell]


Crystalline Er3Sc2Sb3 at its relaxed geometry, computed with GGA-PBE.

Computed properties:
Total DFT energy (no corrections), eV/cell: -91.891

Lattice parameters (Å, degrees): 8.7387 8.7387 6.0693 90.00 90.00 120.00
Space group P6_3/mcm (No. 193)
Unique sites:
Er: 0.0000 0.2453 0.2500 [6 per cell]
Sc: 0.3333 0.6667 0.0000 [4 per cell]
Sb: 0.0000 0.3945 0.7500 [6 per cell]


In Bohr magnetons per cell, the size of the total moment values for the records above are, in order, 0.000 0.001 1.552 1.569.
In states/eV/atom, the DOS(E_F) values for the records above are, in order, 0.000 1.718 2.506 0.909.